Version one
A relaxed structure of FeTe2Os. Source: Alexandria, functional GGA-PBEsol.

Lattice parameters (Å, degrees): 3.1739 3.1739 27.9608 90.00 90.00 120.00
With the nearest neighbours (Å) after each atom.
Space group R3m (No. 160, hexagonal axes)
Unique sites:
1 Fe 0.0000 0.0000 0.0000  3 Os 2.55, 3 Te 2.62
2 Te 0.0000 0.0000 0.5318  3 Os 2.71
3 Te 0.0000 0.0000 0.7336  3 Fe 2.62
4 Os 0.0000 0.0000 0.2700  3 Fe 2.55, 3 Te 2.71

Properties
crystal system	trigonal
M_tot	2.80	μB per formula unit
V	244	Å³ per cell


Version two
A relaxed structure of FeTe2Os. Source: Alexandria, functional GGA-PBEsol.

Lattice parameters (Å, degrees): 3.8862 3.8862 9.4547 90.00 90.00 90.00
With the nearest neighbours (Å) after each atom.
Space group I-4m2 (No. 119)
Unique sites:
1 Fe 0.0000 0.0000 0.0000  8 Te 2.75-3.06, 4 Os 3.06
2 Te 0.0000 0.0000 0.5000  4 Fe 2.75, 4 Te 3.06, 4 Os 3.06
3 Te 0.0000 0.5000 0.7500  4 Os 2.75, 4 Fe 3.06, 4 Te 3.06
4 Os 0.0000 0.5000 0.2500  8 Te 2.75-3.06, 4 Fe 3.06

Properties
crystal system	tetragonal
M_tot	2.34	μB per formula unit
V	143	Å³ per cell


According to the calculations, the structures order from most to least stable as version one, version two.


Version one
A relaxed structure of Ta2HgPb. Source: Alexandria, functional GGA-PBEsol.

Lattice parameters (Å, degrees): 3.6347 4.7305 9.1337 90.00 90.00 90.00
With the nearest neighbours (Å) after each atom.
Space group Cmmm (No. 65)
Unique sites:
1 Ta 0.0000 0.0000 0.2454  2 Hg 2.89, 2 Pb 2.95, 4 Ta 2.98
2 Hg 0.0000 0.5000 0.0000  4 Ta 2.89, 4 Hg 2.98
3 Pb 0.0000 0.5000 0.5000  4 Ta 2.95, 4 Pb 2.98

Properties
crystal system	orthorhombic
M_tot	0.00	μB per formula unit
V	157	Å³ per cell


Version two
A relaxed structure of Ta2HgPb. Source: Alexandria, functional GGA-PBEsol.

Lattice parameters (Å, degrees): 9.8291 3.3947 4.8847 90.00 104.99 90.00
With the nearest neighbours (Å) after each atom.
Space group C2/m (No. 12)
Unique sites:
1 Ta 0.2482 0.0000 0.2344  4 Ta 2.86-3.09, 3 Hg 2.95-2.98, 3 Pb 3.00-3.05
2 Hg 0.0000 0.5000 0.0000  6 Ta 2.95-2.98, 4 Pb 2.97
3 Pb 0.0000 0.0000 0.5000  4 Hg 2.97, 6 Ta 3.00-3.05

Properties
crystal system	monoclinic
M_tot	0.00	μB per formula unit
V	157	Å³ per cell


According to the calculations, the structures order from most to least stable as version two, version one.


Version one
A relaxed structure of OsAu2Cl. Source: Alexandria, functional GGA-PBEsol.

Lattice parameters (Å, degrees): 6.4907 6.4907 6.4907 90.00 90.00 90.00
With the nearest neighbours (Å) after each atom.
Space group Fm-3m (No. 225)
Unique sites:
1 Os 0.0000 0.0000 0.0000  8 Au 2.81
2 Au 0.2500 0.2500 0.2500  4 Cl 2.81, 4 Os 2.81
3 Cl 0.0000 0.0000 0.5000  8 Au 2.81

Properties
crystal system	cubic
M_tot	2.48	μB per formula unit
V	273	Å³ per cell


Version two
A relaxed structure of OsAu2Cl. Source: Alexandria, functional GGA-PBEsol.

Lattice parameters (Å, degrees): 2.9161 2.9161 7.9053 90.00 90.00 90.00
With the nearest neighbours (Å) after each atom.
Space group P4/mmm (No. 123)
Unique sites:
1 Os 0.0000 0.0000 0.0000  8 Au 2.76, 4 Os 2.92
2 Au 0.5000 0.5000 0.2330  4 Os 2.76, 4 Au 2.92, 4 Cl 2.95
3 Cl 0.0000 0.0000 0.5000  4 Cl 2.92, 8 Au 2.95

Properties
crystal system	tetragonal
M_tot	1.05	μB per formula unit
V	67	Å³ per cell


According to the calculations, the structures order from most to least stable as version two, version one.


Version one
A relaxed structure of MgAs. Source: Alexandria, functional GGA-PBEsol.

Lattice parameters (Å, degrees): 3.3650 3.3650 3.3650 90.00 90.00 90.00
With the nearest neighbours (Å) after each atom.
Space group Pm-3m (No. 221)
Unique sites:
1 Mg 0.0000 0.0000 0.0000  8 As 2.91
2 As 0.5000 0.5000 0.5000  8 Mg 2.91

Properties
crystal system	cubic
M_tot	0.00	μB per formula unit
V	38	Å³ per cell


Version two
A relaxed structure of MgAs. Source: Alexandria, functional GGA-PBEsol.

Lattice parameters (Å, degrees): 5.8620 4.6031 5.7222 90.00 90.00 90.00
With the nearest neighbours (Å) after each atom.
Space group Pnma (No. 62)
Unique sites:
1 Mg 0.1222 0.2500 0.1812  6 As 2.76-2.96, 2 Mg 3.03
2 As 0.1193 0.2500 0.6982  6 Mg 2.76-2.96, 2 As 2.99

Properties
crystal system	orthorhombic
M_tot	0.00	μB per formula unit
V	154	Å³ per cell


According to the calculations, the structures order from most to least stable as version two, version one.


Version one
A relaxed structure of CaTcPt2. Source: Alexandria, functional GGA-PBEsol.

Lattice parameters (Å, degrees): 4.0036 4.0036 8.1267 90.00 90.00 90.00
With the nearest neighbours (Å) after each atom.
Space group I-4m2 (No. 119)
Unique sites:
1 Ca 0.0000 0.0000 0.0000  8 Pt 2.83-2.85, 4 Tc 2.85
2 Tc 0.0000 0.5000 0.2500  8 Pt 2.83-2.85, 4 Ca 2.85
3 Pt 0.0000 0.0000 0.5000  4 Ca 2.83, 4 Tc 2.85, 4 Pt 2.85
4 Pt 0.0000 0.5000 0.7500  4 Tc 2.83, 4 Pt 2.85, 4 Ca 2.85

Properties
crystal system	tetragonal
M_tot	0.00	μB per formula unit
V	130	Å³ per cell


Version two
A relaxed structure of CaTcPt2. Source: Alexandria, functional GGA-PBEsol.

Lattice parameters (Å, degrees): 2.7661 4.6819 4.9956 90.00 90.00 90.00
With the nearest neighbours (Å) after each atom.
Space group Pmm2 (No. 25)
Unique sites:
1 Ca 0.0000 0.0000 0.0000  2 Ca 2.77, 8 Pt 2.80-2.86, 2 Tc 3.04
2 Tc 0.0000 0.5000 0.6123  8 Pt 2.76-2.95, 2 Tc 2.77, 2 Ca 3.04
3 Pt 0.5000 0.0000 0.5019  4 Pt 2.77-2.97, 4 Tc 2.77, 4 Ca 2.85-2.86
4 Pt 0.5000 0.5000 0.1348  4 Tc 2.76-2.95, 4 Pt 2.77-2.97, 4 Ca 2.80

Properties
crystal system	orthorhombic
M_tot	0.01	μB per formula unit
V	65	Å³ per cell


According to the calculations, the structures order from most to least stable as version two, version one.


Version one
A relaxed structure of Sc3Sb. Source: Alexandria, functional GGA-PBEsol.

Lattice parameters (Å, degrees): 6.3143 6.3143 4.9925 90.00 90.00 120.00
With the nearest neighbours (Å) after each atom.
Space group P6_3/mmc (No. 194)
Unique sites:
1 Sc 0.1678 0.3357 0.2500  4 Sb 3.08-3.16, 8 Sc 3.10-3.18
2 Sb 0.3333 0.6667 0.7500  12 Sc 3.08-3.16

Properties
crystal system	hexagonal
M_tot	0.00	μB per formula unit
V	172	Å³ per cell


Version two
A relaxed structure of Sc3Sb. Source: Alexandria, functional GGA-PBEsol.

Lattice parameters (Å, degrees): 4.2660 4.2660 9.6253 90.00 90.00 90.00
With the nearest neighbours (Å) after each atom.
Space group I4/mmm (No. 139)
Unique sites:
1 Sc 0.0000 0.0000 0.0000  4 Sb 3.02, 8 Sc 3.22
2 Sc 0.0000 0.5000 0.2500  8 Sc 3.02-3.22, 4 Sb 3.22
3 Sb 0.0000 0.0000 0.5000  12 Sc 3.02-3.22

Properties
crystal system	tetragonal
M_tot	0.99	μB per formula unit
V	175	Å³ per cell


According to the calculations, the structures order from most to least stable as version one, version two.


Version one
A relaxed structure of TcNi2Pt. Source: Alexandria, functional GGA-PBEsol.

Lattice parameters (Å, degrees): 2.6210 2.6210 7.2349 90.00 90.00 90.00
With the nearest neighbours (Å) after each atom.
Space group P4/mmm (No. 123)
Unique sites:
1 Tc 0.0000 0.0000 0.0000  8 Ni 2.55, 4 Tc 2.62
2 Ni 0.5000 0.5000 0.2425  4 Tc 2.55, 4 Ni 2.62, 4 Pt 2.63
3 Pt 0.0000 0.0000 0.5000  4 Pt 2.62, 8 Ni 2.63

Properties
crystal system	tetragonal
M_tot	0.00	μB per formula unit
V	50	Å³ per cell


Version two
A relaxed structure of TcNi2Pt. Source: Alexandria, functional GGA-PBEsol.

Lattice parameters (Å, degrees): 8.4175 2.6230 4.6170 90.00 99.67 90.00
With the nearest neighbours (Å) after each atom.
Space group C2/m (No. 12)
Unique sites:
1 Tc 0.0000 0.0000 0.0000  6 Ni 2.53-2.55, 2 Tc 2.62, 4 Pt 2.66
2 Ni 0.2484 0.5000 0.2315  6 Ni 2.51-2.80, 3 Tc 2.53-2.55, 3 Pt 2.60-2.62
3 Pt 0.0000 0.5000 0.5000  6 Ni 2.60-2.62, 2 Pt 2.62, 4 Tc 2.66

Properties
crystal system	monoclinic
M_tot	0.00	μB per formula unit
V	100	Å³ per cell


According to the calculations, the structures order from most to least stable as version one, version two.


Version one
A relaxed structure of CaMg2Re. Source: Alexandria, functional GGA-PBEsol.

Lattice parameters (Å, degrees): 5.9389 9.9030 2.8391 90.00 109.80 90.00
With the nearest neighbours (Å) after each atom.
Space group C2/m (No. 12)
Unique sites:
1 Ca 0.0000 0.0000 0.0000  2 Ca 2.84, 2 Re 2.97, 4 Mg 2.99
2 Mg 0.2500 0.2500 0.5000  4 Mg 2.84-2.97, 2 Re 2.99, 2 Ca 2.99
3 Re 0.0000 0.5000 0.0000  2 Re 2.84, 2 Ca 2.97, 4 Mg 2.99

Properties
crystal system	monoclinic
M_tot	0.00	μB per formula unit
V	157	Å³ per cell


Version two
A relaxed structure of CaMg2Re. Source: Alexandria, functional GGA-PBEsol.

Lattice parameters (Å, degrees): 6.7947 6.7947 6.7947 90.00 90.00 90.00
With the nearest neighbours (Å) after each atom.
Space group Fm-3m (No. 225)
Unique sites:
1 Ca 0.0000 0.0000 0.0000  8 Mg 2.94
2 Mg 0.2500 0.2500 0.2500  4 Re 2.94, 4 Ca 2.94
3 Re 0.0000 0.0000 0.5000  8 Mg 2.94

Properties
crystal system	cubic
M_tot	0.62	μB per formula unit
V	314	Å³ per cell


According to the calculations, the structures order from most to least stable as version two, version one.